Entry 1:
Density functional theory data (PBE) for a relaxed structure of Tb2Dy3Sc7.

```
Tb2Dy3Sc7
1.0
1.760 -18.855 0.000
1.760 18.855 0.000
0.000 0.000 5.279
Tb Dy Sc
2 3 7
Cartesian
1.760 13.697 0.000
1.760 -13.697 0.000
0.000 0.000 0.000
1.760 6.548 2.639
1.760 -6.548 2.639
1.760 15.809 2.639
1.760 10.687 0.000
1.760 2.525 0.000
1.760 0.000 2.639
1.760 -2.525 0.000
1.760 -10.687 0.000
1.760 -15.809 2.639
```

Values from the calculation:
* SG: Cmmm (65)
* energy of formation from the pure elements: 0.2632 eV per atom

Entry 2:
Density functional theory data (PBE) for a relaxed structure of Pt2Au.

```
Pt2Au
1.0
-1.386 1.386 13.239
1.386 -1.386 13.239
1.386 1.386 -13.239
Pt Au
4 2
Cartesian
1.386 0.693 1.138
1.386 0.693 5.482
0.000 0.693 7.757
0.000 0.693 12.101
1.386 -0.693 9.929
0.000 2.080 3.310
```

Values from the calculation:
* E above lowest polymorph: 0.105 eV per atom
* SG: I4_1/amd (141)
* energy of formation from the pure elements: 0.1455 eV per atom

Entry 3:
Density functional theory data (PBE) for a relaxed structure of TcNiAsSe2.

```
TcNiAsSe2
1.0
4.739 0.000 0.000
0.000 4.739 0.000
0.000 0.000 4.462
Tc Ni As Se
1 1 1 2
Cartesian
0.000 0.000 0.000
2.369 2.369 2.231
2.369 2.369 0.000
0.000 2.369 2.231
2.369 0.000 2.231
```

Values from the calculation:
* E above lowest polymorph: 0.000 eV per atom
* SG: P4/mmm (123)
* raw formation energy: 0.79 eV per atom

Entry 4:
Density functional theory data (PBE) for a relaxed structure of Rb2UF5.

```
Rb2UF5
1.0
5.388 -4.815 0.000
5.388 4.815 0.000
-4.077 0.000 5.532
Rb U F
2 1 5
Cartesian
5.388 2.594 0.000
5.388 -2.594 0.000
7.936 0.000 1.788
-0.637 0.000 1.761
8.048 1.937 0.735
5.841 0.000 0.992
7.325 0.000 3.911
8.048 -1.937 0.735
```

Values from the calculation:
* SG: Cm (8)
* raw formation energy: -3.02 eV per atom

Entry 5:
Density functional theory data (PBE) for a relaxed structure of SrGa2BSb.

```
SrGa2BSb
1.0
5.861 0.000 0.000
0.000 5.861 0.000
0.000 0.000 6.019
Sr Ga B Sb
1 2 1 1
Cartesian
0.000 0.000 0.000
0.000 2.930 0.000
2.930 0.000 0.000
2.930 2.930 3.010
0.000 0.000 3.010
```

Values from the calculation:
* SG: P4/mmm (123)
* raw formation energy: 1.68 eV per atom

Entry 6:
Density functional theory data (PBE) for a relaxed structure of Sc4InIr.

```
Sc4InIr
1.0
0.000 3.944 3.944
3.944 0.000 3.944
3.944 3.944 0.000
Sc In Ir
4 1 1
Cartesian
2.970 2.970 2.970
4.918 4.918 2.970
4.918 2.970 4.918
2.970 4.918 4.918
0.000 0.000 0.000
5.916 5.916 5.916
```

Values from the calculation:
* E above lowest polymorph: 0.744 eV per atom
* SG: F-43m (216)
* energy of formation from the pure elements: 0.1634 eV per atom

Entry 7:
Density functional theory data (PBE) for a relaxed structure of Dy6Co2Cu.

```
Dy6Co2Cu
1.0
-4.627 4.723 4.868
4.627 -4.723 4.868
4.627 4.723 -4.868
Dy Co Cu
12 4 2
Cartesian
4.627 2.921 -2.536
2.547 1.680 0.000
6.708 1.680 0.000
1.722 4.723 -1.699
2.905 0.000 3.169
0.000 1.802 2.332
4.627 2.921 2.536
1.722 4.723 1.699
2.905 0.000 6.567
-2.080 3.043 4.868
2.080 3.043 4.868
0.000 1.802 7.404
4.627 0.000 1.119
0.000 3.158 0.000
0.000 6.288 0.000
0.000 4.723 3.749
0.000 0.000 0.000
0.000 0.000 4.868
```

Values from the calculation:
* SG: Immm (71)
* energy of formation from the pure elements: -0.1709 eV per atom

Entry 8:
Density functional theory data (PBE) for a relaxed structure of K2ScI6.

```
K2ScI6
1.0
3.830 0.000 0.000
0.000 9.112 5.276
0.000 -9.112 5.276
K Sc I
2 1 6
Cartesian
0.000 -6.078 5.276
0.000 6.078 5.276
1.915 0.000 5.317
0.000 -1.906 4.215
0.000 1.906 4.215
0.000 0.000 7.522
1.915 0.000 0.657
1.915 -4.036 7.618
1.915 4.036 7.618
```

Values from the calculation:
* SG: Amm2 (38)
* raw formation energy: -1.06 eV per atom

Entry 9:
Density functional theory data (PBE) for a relaxed structure of PmNdSmY2.

```
PmNdSmY2
1.0
4.262 -5.819 0.000
4.262 5.819 0.000
0.000 0.000 7.200
Pm Nd Sm Y
2 2 2 4
Cartesian
4.262 3.156 5.400
4.262 -3.156 1.800
4.262 -0.005 1.800
4.262 0.005 5.400
4.262 3.166 1.800
4.262 -3.166 5.400
1.593 0.000 0.000
1.593 0.000 3.600
6.931 0.000 0.000
6.931 0.000 3.600
```

Values from the calculation:
* SG: Cmcm (63)
* energy of formation from the pure elements: 0.3727 eV per atom

Entry 10:
Density functional theory data (PBE) for a relaxed structure of Ce2SmPd.

```
Ce2SmPd
1.0
1.632 0.942 11.405
-1.632 0.942 11.405
0.000 -1.884 11.405
Ce Sm Pd
2 1 1
Cartesian
0.000 0.000 2.644
0.000 0.000 31.572
0.000 0.000 17.108
0.000 0.000 0.000
```

Values from the calculation:
* E above lowest polymorph: 0.351 eV per atom
* SG: R-3m (166)
* energy of formation from the pure elements: 0.1146 eV per atom

Entry 11:
Density functional theory data (PBE) for a relaxed structure of Li7GaHg3.

```
Li7GaHg3
1.0
1.565 -11.138 0.000
1.565 11.138 0.000
0.000 0.000 11.979
Li Ga Hg
14 2 6
Cartesian
1.565 10.011 7.527
1.565 10.011 10.442
1.565 9.213 1.231
1.565 9.213 4.758
1.565 6.972 8.984
1.565 6.155 1.176
1.565 6.155 4.814
1.565 -6.155 7.165
1.565 -6.155 10.803
1.565 -6.972 2.995
1.565 -9.213 7.221
1.565 -9.213 10.748
1.565 -10.011 1.538
1.565 -10.011 4.452
1.565 0.594 8.984
1.565 -0.594 2.995
1.565 3.540 8.984
1.565 3.386 0.688
1.565 3.386 5.301
1.565 -3.386 6.678
1.565 -3.386 11.291
1.565 -3.540 2.995
```

Values from the calculation:
* SG: Cmcm (63)
* energy of formation from the pure elements: -0.2422 eV per atom

Entry 12:
Density functional theory data (PBE) for a relaxed structure of CaAg2Ir.

```
CaAg2Ir
1.0
0.000 3.366 3.366
3.366 0.000 3.366
3.366 3.366 0.000
Ca Ag Ir
1 2 1
Cartesian
0.000 0.000 0.000
1.683 1.683 1.683
5.050 5.050 5.050
3.366 3.366 3.366
```

Values from the calculation:
* E above lowest polymorph: 0.062 eV per atom
* SG: Fm-3m (225)
* energy of formation from the pure elements: 0.0723 eV per atom

What did the third record say?
Density functional theory data (PBE) for a relaxed structure of TcNiAsSe2.

```
TcNiAsSe2
1.0
4.739 0.000 0.000
0.000 4.739 0.000
0.000 0.000 4.462
Tc Ni As Se
1 1 1 2
Cartesian
0.000 0.000 0.000
2.369 2.369 2.231
2.369 2.369 0.000
0.000 2.369 2.231
2.369 0.000 2.231
```

Values from the calculation:
* E above lowest polymorph: 0.000 eV per atom
* SG: P4/mmm (123)
* raw formation energy: 0.79 eV per atom